# CeSmSe2

Crystalline CeSmSe2 at its relaxed geometry (PBE, the Alexandria database).

a b c (Å): 5.9217 5.9217 11.8432
angles (deg): 90.00 90.00 90.00
Last column: nearest neighbours and their distance in Å.
Space group I4_1/amd (No. 141, origin choice 2)
One atom of each set of equivalent atoms:
Ce: 0.0000 0.2500 0.3750  6 Se 2.96-2.97
Sm: 0.0000 0.2500 0.8750  6 Se 2.95-2.96
Se: 0.0000 0.2500 0.1242  3 Sm 2.95-2.96, 3 Ce 2.96-2.97

Summary:
E above lowest polymorph = 0.3 kJ/mol of atoms
uncorrected formation energy = -1.8242 eV per atom

# CeSmSe2

Crystalline CeSmSe2 at its relaxed geometry (PBE, the Alexandria database).

a b c (Å): 4.1127 4.1127 14.2641
angles (deg): 90.00 90.00 120.00
Last column: nearest neighbours and their distance in Å.
Space group P6_3/mmc (No. 194)
One atom of each set of equivalent atoms:
Ce: 0.0000 0.0000 0.0000  6 Se 2.97
Sm: 0.3333 0.6667 0.2500  6 Se 2.97
Se: 0.3333 0.6667 0.6249  3 Ce 2.97, 3 Sm 2.97

Summary:
E above lowest polymorph = 2.4 kJ/mol of atoms
uncorrected formation energy = -1.8021 eV per atom

# Ce3SmSe6

Crystalline Ce3SmSe6 at its relaxed geometry (PBE, the Alexandria database).

a b c (Å): 11.7337 4.2155 12.1951
angles (deg): 90.00 107.87 90.00
Last column: nearest neighbours and their distance in Å.
Space group P2_1/m (No. 11)
One atom of each set of equivalent atoms:
Ce: 0.0745 0.2500 0.1705  6 Se 2.88-2.97
Ce: 0.1859 0.7500 0.5047  7 Se 2.92-3.11
Ce: 0.3412 0.2500 0.9199  6 Se 2.89-2.98
Sm: 0.4563 0.2500 0.3104  8 Se 3.02-3.24
Se: 0.0195 0.2500 0.3852  4 Ce 2.88-3.10
Se: 0.0985 0.2500 0.9352  4 Ce 2.91-2.97
Se: 0.2514 0.7500 0.2802  3 Ce 2.97-3.06, 2 Sm 3.13
Se: 0.3116 0.7500 0.7517  3 Ce 2.89-2.92, 1 Sm 3.04
Se: 0.3883 0.2500 0.5372  3 Sm 3.02-3.11, 2 Ce 3.11
Se: 0.4158 0.7500 0.1005  3 Ce 2.94-2.98, 2 Sm 3.24

Summary:
E above lowest polymorph = 0.0 kJ/mol of atoms
uncorrected formation energy = -1.7961 eV per atom

Copy entry 1 word for word.
# CeSmSe2

Crystalline CeSmSe2 at its relaxed geometry (PBE, the Alexandria database).

a b c (Å): 5.9217 5.9217 11.8432
angles (deg): 90.00 90.00 90.00
Last column: nearest neighbours and their distance in Å.
Space group I4_1/amd (No. 141, origin choice 2)
One atom of each set of equivalent atoms:
Ce: 0.0000 0.2500 0.3750  6 Se 2.96-2.97
Sm: 0.0000 0.2500 0.8750  6 Se 2.95-2.96
Se: 0.0000 0.2500 0.1242  3 Sm 2.95-2.96, 3 Ce 2.96-2.97

Summary:
E above lowest polymorph = 0.3 kJ/mol of atoms
uncorrected formation energy = -1.8242 eV per atom